Entry 1:
TaMo4, relaxed, DFT GGA-PBEsol; mass density = 12.0 g/cm3; total moment = 0.000 μB/cell; space-group type = I4/m, No. 87; E_tot = -12.025 eV/atom; Fermi-level density of states = 2.217 states/eV/f.u.
1.0
-3.526 3.526 1.577
3.526 -3.526 1.577
3.526 3.526 -1.577
Ta Mo
1 4
direct
0.000 0.000 0.000 Ta
0.197 0.399 0.596 Mo
0.399 0.803 0.202 Mo
0.601 0.197 0.798 Mo
0.803 0.601 0.404 Mo



Entry 2:
Ta3Mo4, relaxed, DFT GGA-PBEsol; mass density = 13.6 g/cm3; total moment = 0.000 μB/cell; space-group type = R3, No. 146; E_tot = -12.204 eV/atom; Fermi-level density of states = 3.985 states/eV/f.u.
1.0
5.932 3.425 0.928
-5.932 3.425 0.928
0.000 -6.850 0.928
Ta Mo
3 4
direct
0.147 0.284 0.569 Ta
0.284 0.569 0.147 Ta
0.569 0.147 0.284 Ta
0.431 0.861 0.716 Mo
0.716 0.431 0.861 Mo
0.861 0.716 0.431 Mo
0.994 0.994 0.994 Mo